VASP calculation (PBE) on a relaxed structure of PmAlRhO4.

It has space group Cmcm (No. 63), with a = 6.023 Å, b = 8.782 Å, c = 7.093 Å, α = 90.00°, β = 90.00° and γ = 90.00°. The asymmetric unit holds Pm at (0.000, 0.000, 0.000), Al at (0.000, 0.375, 0.250), Rh at (0.000, 0.296, 0.750), O at (0.000, 0.269, 0.037) and O at (0.237, 0.498, 0.250).

=====

VASP calculation (PBE) on a relaxed structure of PmAl2RuO8.

It has space group P2/m (No. 10), with a = 4.627 Å, b = 6.334 Å, c = 4.642 Å, α = 90.00°, β = 90.90° and γ = 90.00°. The asymmetric unit holds Pm at (0.000, 0.000, 0.000), Al at (0.500, 0.261, 0.500), Ru at (0.000, 0.500, 0.000), O at (0.214, 0.291, 0.210), O at (0.300, 0.500, 0.697) and O at (0.335, 0.000, 0.661).

=====

Uncorrected formation energy values, unit eV per atom, following the record order: -2.13; -2.03.
Ρ values, unit g cm⁻³, following the record order: 6.0; 5.2.
Size of the total moment values, unit μB/cell, following the record order: 5.45; 2.23.